AlOsRu2 (PBE, relaxed); crystal system = orthorhombic; formation energy = -0.09 eV per atom
1.0
5.056 0.005 0.004
2.303 4.501 -0.004
-3.155 -3.110 2.437
Os Al Ru
1 1 2
direct
0.250 0.750 0.500
0.750 0.250 0.500
0.517 0.517 0.000
0.983 0.983 0.000